The following is a DFT calculation (PBE with a Hubbard U) of a relaxed FeGeSO2 crystal.

Unit cell a=3.8004 b=3.8004 c=4.9549 alpha=90.00 beta=90.00 gamma=90.00
Space group P4/mmm (No. 123)
Inequivalent atoms, fractional coordinates:
Fe  0.0000  0.0000  0.0000
Ge  0.5000  0.5000  0.0000
S  0.5000  0.5000  0.5000
O  0.0000  0.5000  0.5000

Results
VASP energy: -4.516 eV per atom